(1)
Er2Hg (GGA-PBE, relaxed); VASP energy = -0.210 Ry per atom; symmetry = Fd-3m
1.0
0.000 4.369 4.369
4.369 0.000 4.369
4.369 4.369 0.000
Er Hg
4 2
Cartesian
0.000 0.000 0.000
2.185 2.185 0.000
2.185 0.000 2.185
0.000 2.185 2.185
3.277 3.277 3.277
5.462 5.462 5.462

***

(2)
Er3Hg5 (GGA-PBE, relaxed); symmetry = Amm2; energy above the lowest structure with this stoichiometry = 0.16 eV/f.u.
1.0
5.070 0.000 0.000
0.000 3.668 5.171
0.000 -3.668 5.171
Er Hg
3 5
Cartesian
0.000 0.000 0.000
0.000 0.000 4.609
2.535 0.000 7.686
0.000 -1.633 7.446
0.000 1.633 7.446
2.535 0.000 2.508
2.535 -1.818 5.125
2.535 1.818 5.125

***

(3)
ErHg (GGA-PBE, relaxed); VASP energy = -0.196 Ry per atom; symmetry = Fm-3m
1.0
0.000 3.031 3.031
3.031 0.000 3.031
3.031 3.031 0.000
Er Hg
1 1
Cartesian
0.000 0.000 0.000
3.031 3.031 3.031

***

(4)
ErHg (GGA-PBE, relaxed); VASP energy = -0.154 Ry per atom; symmetry = F-43m
1.0
0.000 3.320 3.320
3.320 0.000 3.320
3.320 3.320 0.000
Er Hg
1 1
Cartesian
0.000 0.000 0.000
4.980 4.980 4.980

***

(5)
ErHg3 (GGA-PBE, relaxed); VASP energy = -0.124 Ry per atom; symmetry = P6_3/mmc
1.0
6.564 0.000 0.000
-3.282 5.685 0.000
0.000 0.000 4.923
Er Hg
2 6
Cartesian
0.000 3.790 1.231
3.282 1.895 3.693
0.000 1.898 3.693
-1.639 4.736 3.693
1.644 0.949 1.231
1.639 4.736 3.693
4.921 0.949 1.231
3.282 3.787 1.231

***

(6)
Er2Hg (GGA-PBE, relaxed); VASP energy = -0.258 Ry per atom; symmetry = Pnma
1.0
6.954 0.000 0.000
0.000 5.059 0.000
0.000 0.000 9.121
Er Hg
8 4
Cartesian
0.109 1.265 1.788
1.189 1.265 5.246
2.288 3.795 0.685
3.368 3.795 6.349
3.586 1.265 2.772
4.666 1.265 8.436
5.766 3.795 3.875
6.845 3.795 7.333
1.644 1.265 8.208
1.833 3.795 3.647
5.121 1.265 5.475
5.310 3.795 0.914

***

(7)
Er3Hg5 (GGA-PBE, relaxed); symmetry = Cmcm; energy above the lowest structure with this stoichiometry = 0.00 eV/f.u.
1.0
4.995 -3.838 0.000
4.995 3.838 0.000
0.000 0.000 10.074
Er Hg
6 10
Cartesian
4.995 3.401 7.555
2.847 0.000 0.000
2.847 0.000 5.037
7.144 0.000 0.000
7.144 0.000 5.037
4.995 -3.401 2.518
2.791 1.941 2.518
4.995 2.225 0.253
4.995 2.225 4.784
4.995 0.293 7.555
7.200 1.941 2.518
2.791 -1.941 7.555
4.995 -0.293 2.518
4.995 -2.225 5.290
4.995 -2.225 9.821
7.200 -1.941 7.555

***

(8)
ErHg (GGA-PBE, relaxed); VASP energy = -0.200 Ry per atom; symmetry = P-6m2
1.0
3.589 0.000 0.000
-1.794 3.108 0.000
0.000 0.000 4.710
Er Hg
1 1
Cartesian
0.000 0.000 0.000
1.794 1.036 2.355

***

(9)
ErHg (GGA-PBE, relaxed); VASP energy = -0.214 Ry per atom; symmetry = Pm-3m
1.0
3.667 0.000 0.000
0.000 3.667 0.000
0.000 0.000 3.667
Er Hg
1 1
Cartesian
0.000 0.000 0.000
1.834 1.834 1.834

***

(10)
Ho4ErHg5 (GGA-PBE, relaxed); VASP energy = -0.215 Ry per atom; symmetry = P4/mmm
1.0
3.689 0.000 0.000
0.000 3.689 0.000
0.000 0.000 18.481
Ho Er Hg
4 1 5
Cartesian
0.000 0.000 1.852
0.000 0.000 5.555
0.000 0.000 12.926
0.000 0.000 16.629
0.000 0.000 9.241
1.844 1.844 0.000
1.844 1.844 3.703
1.844 1.844 7.410
1.844 1.844 11.071
1.844 1.844 14.778

***

(11)
HoErHg2 (GGA-PBE, relaxed); VASP energy = -0.200 Ry per atom; symmetry = Ama2
1.0
5.396 0.000 0.000
0.000 5.961 3.165
0.000 -5.961 3.165
Ho Er Hg
2 2 4
Cartesian
1.349 -4.087 3.165
4.047 4.087 3.165
1.349 -0.958 1.999
4.047 0.958 1.999
1.349 2.085 3.230
1.349 -0.999 5.074
4.047 -2.085 3.230
4.047 0.999 5.074

***

(12)
HoErHg (GGA-PBE, relaxed); symmetry = F-43m; energy above the lowest structure with this stoichiometry = 0.00 eV/f.u.
1.0
0.000 3.576 3.576
3.576 0.000 3.576
3.576 3.576 0.000
Ho Er Hg
1 1 1
Cartesian
0.000 0.000 0.000
3.576 3.576 3.576
5.364 5.364 5.364

***

What did the ninth record say?
ErHg (GGA-PBE, relaxed); VASP energy = -0.214 Ry per atom; symmetry = Pm-3m
1.0
3.667 0.000 0.000
0.000 3.667 0.000
0.000 0.000 3.667
Er Hg
1 1
Cartesian
0.000 0.000 0.000
1.834 1.834 1.834

***

What is the formula in the fifth record? ErHg3